(1)
ThAl12Cu4: optimized geometry, PBE-GGA.

- uncorrected energy (eV/atom) = -3.979
- symmetry = No. 204
- calculated volume (Å³/atom) = 18.69
- crystal system = cubic

Geometry as POSCAR:
```
ThAl12Cu4
1.0
-6.998 -2.205 1.267
1.206 0.338 -7.340
4.729 -4.863 3.071
Th Al Cu
1 12 4
direct
0.000 0.000 0.000
0.165 0.656 0.821
0.179 0.835 0.344
0.344 0.509 0.165
0.491 0.835 0.656
0.165 0.344 0.509
0.656 0.821 0.165
0.835 0.344 0.179
0.835 0.656 0.491
0.821 0.165 0.656
0.656 0.491 0.835
0.509 0.165 0.344
0.344 0.179 0.835
0.000 0.500 0.000
0.500 0.500 0.500
0.000 0.000 0.500
0.500 0.000 0.000
```


(2)
ThAlCu2: optimized geometry, PBE-GGA.

- uncorrected energy (eV/atom) = -5.105
- symmetry = No. 225
- calculated volume (Å³/atom) = 18.63
- crystal system = cubic

Geometry as POSCAR:
```
ThAlCu2
1.0
-2.072 4.238 0.240
-3.840 0.901 -2.598
-4.212 0.454 2.089
Al Th Cu
1 1 2
direct
0.000 0.000 0.000
0.500 0.500 0.500
0.250 0.250 0.250
0.750 0.750 0.750
```


(3)
ThAl3Cu4: optimized geometry, PBE-GGA.

- uncorrected energy (eV/atom) = -4.554
- symmetry = No. 123
- calculated volume (Å³/atom) = 17.22
- crystal system = tetragonal

Geometry as POSCAR:
```
ThAl3Cu4
1.0
-1.800 -2.978 2.373
3.716 -0.802 1.813
-1.531 5.291 5.479
Cu Al Th
4 3 1
direct
0.000 0.500 0.170
0.500 0.000 0.830
0.500 0.000 0.170
0.000 0.500 0.830
0.500 0.500 0.334
0.000 0.000 0.000
0.500 0.500 0.666
0.000 0.000 0.500
```


(4)
Th2Al2Cu15: optimized geometry, PBE-GGA.

- uncorrected energy (eV/atom) = -4.558
- symmetry = No. 166
- calculated volume (Å³/atom) = 14.53
- crystal system = trigonal

Geometry as POSCAR:
```
Th2Al2Cu15
1.0
6.570 0.026 0.023
0.878 6.511 0.023
0.878 0.770 6.465
Cu Al Th
15 2 2
direct
0.151 0.653 0.653
0.705 0.295 0.000
0.295 0.705 0.000
0.347 0.347 0.849
0.500 0.000 0.000
0.653 0.151 0.653
0.000 0.705 0.295
0.849 0.347 0.347
0.000 0.500 0.000
0.000 0.000 0.500
0.347 0.849 0.347
0.705 0.000 0.295
0.295 0.000 0.705
0.000 0.295 0.705
0.653 0.653 0.151
0.102 0.102 0.102
0.898 0.898 0.898
0.351 0.351 0.351
0.649 0.649 0.649
```


(5)
Th3AlCu4: optimized geometry, PBE-GGA.

- uncorrected energy (eV/atom) = -5.328
- symmetry = No. 71
- calculated volume (Å³/atom) = 22.43
- crystal system = orthorhombic

Geometry as POSCAR:
```
Th3AlCu4
1.0
3.803 0.000 0.000
0.000 6.252 0.000
-1.901 -3.126 7.549
Cu Th Al
4 3 1
direct
0.377 0.578 0.754
0.623 0.824 0.246
0.377 0.176 0.754
0.623 0.422 0.246
0.000 0.500 0.000
0.801 0.801 0.602
0.199 0.199 0.398
0.500 0.000 0.000
```


(6)
Th3AlCu3: optimized geometry, PBE-GGA.

- uncorrected energy (eV/atom) = -5.668
- symmetry = No. 12
- calculated volume (Å³/atom) = 22.01
- crystal system = monoclinic

Geometry as POSCAR:
```
Th3AlCu3
1.0
4.185 0.000 0.630
2.058 5.609 0.542
0.158 0.143 13.157
Cu Al Th
6 2 6
direct
0.872 0.714 0.542
0.101 0.872 0.926
0.045 0.145 0.764
0.899 0.128 0.074
0.128 0.286 0.458
0.955 0.855 0.236
0.243 0.924 0.591
0.757 0.076 0.409
0.741 0.737 0.782
0.390 0.297 0.923
0.515 0.345 0.625
0.259 0.263 0.218
0.485 0.655 0.375
0.610 0.703 0.077
```


Number 1: N(E_F) 7.3 states/eV/f.u.. Number 2: N(E_F) 2.1 states/eV/f.u.. Number 3: N(E_F) 3.1 states/eV/f.u.. Number 4: N(E_F) 10.5 states/eV/f.u.. Number 5: N(E_F) 7.1 states/eV/f.u.. Number 6: N(E_F) 7.7 states/eV/f.u..